A | Material: LiDy2Mn4O8
Method: DFT, PBE with a Hubbard U
State: relaxed

a = 6.2108 Å, b = 6.2532 Å, c = 6.7419 Å
α = 114.83°, β = 117.18°, γ = 90.76°
Positions (direct):
Li 0.0000 0.0000 0.0000
Dy 0.2406 0.7440 0.4782
Dy 0.5074 0.5652 0.0014
Mn 0.4135 0.1898 0.3045
Mn 0.8418 0.6189 0.6753
Mn 0.8585 0.1459 0.7107
Mn 0.9037 0.1929 0.3106
O 0.0869 0.8764 0.7378
O 0.0931 0.4226 0.7194
O 0.1023 0.3521 0.1925
O 0.1356 0.9366 0.2697
O 0.6365 0.4148 0.7175
O 0.6408 0.4211 0.2647
O 0.6438 0.9455 0.2834
O 0.6540 0.8679 0.7352

Computed properties:
The crystal system is triclinic. The symmetry is P1 (1).

***

B | Material: LiDy2Mn4O8
Method: DFT, PBE with a Hubbard U
State: relaxed

a = 6.7615 Å, b = 6.7615 Å, c = 6.1382 Å
α = 116.82°, β = 116.82°, γ = 56.15°
Positions (direct):
Li 0.0000 0.0000 0.0000
Dy 0.2542 0.2542 0.2728
Dy 0.4755 0.4755 0.9732
Mn 0.3271 0.8486 0.5869
Mn 0.8084 0.8084 0.0626
Mn 0.8264 0.8264 0.5662
Mn 0.8486 0.3271 0.5869
O 0.0660 0.6467 0.8321
O 0.0772 0.6555 0.3789
O 0.1022 0.1022 0.3570
O 0.1195 0.1195 0.8733
O 0.6035 0.6035 0.8309
O 0.6128 0.6128 0.3725
O 0.6467 0.0660 0.8321
O 0.6555 0.0772 0.3789

Computed properties:
The crystal system is monoclinic. The symmetry is Cm (8).

***

Energies relative to the most stable structure are A 74; B 0, reported in meV per atom.